Entry 1:
Here is Dy2TlPd4 after structural relaxation from Alexandria via LeMat-Bulk. Energies are from PBE.

Total magnetic moment = 0.000 μB per formula unit
Calculated formation energy = -4.918 eV/f.u.
DOS at the Fermi energy = 3.10 states/eV/f.u.

a b c (Å): 4.0866 4.0866 18.3617
angles (deg): 90.00 90.00 90.00
Space group I4/mmm (No. 139)
Symmetry-distinct sites (fractional):
Dy: 0.0000 0.0000 0.1310
Tl: 0.0000 0.0000 0.5000
Pd: 0.0000 0.0000 0.3541
Pd: 0.0000 0.5000 0.2500

Entry 2:
Here is Dy2Tl2Pd7 after structural relaxation from Alexandria via LeMat-Bulk. Energies are from PBE.

Total magnetic moment = 0.000 μB per formula unit
Calculated formation energy = -1.978 eV/f.u.
DOS at the Fermi energy = 3.78 states/eV/f.u.

a b c (Å): 9.1357 9.8797 5.5491
angles (deg): 90.00 90.00 90.00
Space group Cmmm (No. 65)
Symmetry-distinct sites (fractional):
Dy: 0.2148 0.0000 0.0000
Tl: 0.0000 0.2677 0.5000
Pd: 0.0000 0.0000 0.5000
Pd: 0.0000 0.5000 0.2384
Pd: 0.2500 0.2500 0.2437

Entry 3:
Here is Dy3Tl2Pd8 after structural relaxation from Alexandria via LeMat-Bulk. Energies are from PBE.

Total magnetic moment = 0.000 μB per formula unit
Calculated formation energy = -6.264 eV/f.u.
DOS at the Fermi energy = 7.46 states/eV/f.u.

a b c (Å): 5.4498 5.4498 30.8049
angles (deg): 90.00 90.00 120.00
Space group R-3m (No. 166, hexagonal axes)
Symmetry-distinct sites (fractional):
Dy: 0.0000 0.0000 0.0000
Dy: 0.0000 0.0000 0.1900
Tl: 0.0000 0.0000 0.3671
Pd: 0.0000 0.0000 0.2803
Pd: 0.0041 0.5020 0.7734

Entry 4:
Here is Dy5TlPd after structural relaxation from Alexandria via LeMat-Bulk. Energies are from PBE.

Total magnetic moment = 0.000 μB per formula unit
Calculated formation energy = -1.514 eV/f.u.
DOS at the Fermi energy = 7.91 states/eV/f.u.

a b c (Å): 8.9327 7.7064 11.8844
angles (deg): 90.00 104.75 90.00
Space group C2/c (No. 15)
Symmetry-distinct sites (fractional):
Dy: 0.0000 0.0008 0.2500
Dy: 0.1259 0.3480 0.0648
Dy: 0.2459 0.3226 0.3740
Tl: 0.0000 0.3997 0.7500
Pd: 0.0000 0.0000 0.0000

Entry 5:
Here is Dy5TlPd4 after structural relaxation from Alexandria via LeMat-Bulk. Energies are from PBE.

Total magnetic moment = 0.000 μB per formula unit
Calculated formation energy = -7.738 eV/f.u.
DOS at the Fermi energy = 6.67 states/eV/f.u.

a b c (Å): 3.5645 3.5645 17.9097
angles (deg): 90.00 90.00 90.00
Space group P4/mmm (No. 123)
Symmetry-distinct sites (fractional):
Dy: 0.0000 0.0000 0.0000
Dy: 0.0000 0.0000 0.1920
Dy: 0.0000 0.0000 0.3822
Tl: 0.5000 0.5000 0.5000
Pd: 0.5000 0.5000 0.0955
Pd: 0.5000 0.5000 0.2893

Entry 6:
Here is Dy4TlPd after structural relaxation from Alexandria via LeMat-Bulk. Energies are from PBE.

Total magnetic moment = 0.000 μB per formula unit
Excess energy over the best structure of this formula in the dataset = 0.000 eV/atom
Calculated formation energy = -2.803 eV/f.u.
DOS at the Fermi energy = 4.91 states/eV/f.u.

a b c (Å): 13.7792 13.7792 13.7792
angles (deg): 90.00 90.00 90.00
Space group F-43m (No. 216)
Symmetry-distinct sites (fractional):
Dy: 0.0000 0.0000 0.1871
Dy: 0.0621 0.2500 0.2500
Dy: 0.1030 0.1030 0.6030
Tl: 0.1637 0.1637 0.8363
Pd: 0.1054 0.1054 0.3946

Entry 7:
Here is DyTlPd6 after structural relaxation from Alexandria via LeMat-Bulk. Energies are from PBE.

Total magnetic moment = 0.000 μB per formula unit
Excess energy over the best structure of this formula in the dataset = 0.000 eV/atom
Calculated formation energy = -4.339 eV/f.u.
DOS at the Fermi energy = 5.01 states/eV/f.u.

a b c (Å): 5.7888 5.7888 4.1322
angles (deg): 90.00 90.00 90.00
Space group P4/mmm (No. 123)
Symmetry-distinct sites (fractional):
Dy: 0.0000 0.0000 0.0000
Tl: 0.5000 0.5000 0.0000
Pd: 0.0000 0.5000 0.0000
Pd: 0.2512 0.2512 0.5000

Entry 8:
Here is DyTmTlPd after structural relaxation from Alexandria via LeMat-Bulk. Energies are from PBE.

Total magnetic moment = 0.000 μB per formula unit
Excess energy over the best structure of this formula in the dataset = 0.073 eV/atom
Calculated formation energy = -2.212 eV/f.u.
DOS at the Fermi energy = 3.78 states/eV/f.u.

a b c (Å): 7.2721 7.2721 7.2721
angles (deg): 90.00 90.00 90.00
Space group F-43m (No. 216)
Symmetry-distinct sites (fractional):
Dy: 0.0000 0.0000 0.0000
Tm: 0.0000 0.0000 0.5000
Tl: 0.2500 0.2500 0.7500
Pd: 0.2500 0.2500 0.2500

Entry 9:
Here is DyTmTlPd after structural relaxation from Alexandria via LeMat-Bulk. Energies are from PBE.

Total magnetic moment = 0.000 μB per formula unit
Excess energy over the best structure of this formula in the dataset = 0.000 eV/atom
Calculated formation energy = -2.503 eV/f.u.
DOS at the Fermi energy = 3.06 states/eV/f.u.

a b c (Å): 3.5478 3.5478 7.6290
angles (deg): 90.00 90.00 90.00
Space group P4mm (No. 99)
Symmetry-distinct sites (fractional):
Dy: 0.0000 0.0000 0.0000
Tm: 0.0000 0.0000 0.5559
Tl: 0.5000 0.5000 0.2818
Pd: 0.5000 0.5000 0.7683

Entry 10:
Here is Dy3Tm2Pd2 after structural relaxation from Alexandria via LeMat-Bulk. Energies are from PBE.

Total magnetic moment = 0.000 μB per formula unit
Excess energy over the best structure of this formula in the dataset = 0.118 eV/atom
Calculated formation energy = -2.861 eV/f.u.
DOS at the Fermi energy = 7.76 states/eV/f.u.

a b c (Å): 12.5602 3.6908 10.1172
angles (deg): 90.00 126.85 90.00
Space group C2/m (No. 12)
Symmetry-distinct sites (fractional):
Dy: 0.0000 0.0000 0.0000
Dy: 0.1545 0.0000 0.7073
Tm: 0.1119 0.5000 0.3743
Pd: 0.1409 0.5000 0.9260

Entry 11:
Here is DyTm3Pd after structural relaxation from Alexandria via LeMat-Bulk. Energies are from PBE.

Total magnetic moment = 0.001 μB per formula unit
Excess energy over the best structure of this formula in the dataset = 0.010 eV/atom
Calculated formation energy = -1.365 eV/f.u.
DOS at the Fermi energy = 7.67 states/eV/f.u.

a b c (Å): 11.4335 8.3931 7.8124
angles (deg): 90.00 128.70 90.00
Space group C2/m (No. 12)
Symmetry-distinct sites (fractional):
Dy: 0.0745 0.0000 0.2776
Tm: 0.0407 0.5000 0.3126
Tm: 0.2092 0.1991 0.7439
Pd: 0.2334 0.0000 0.0835

Entry 12:
Here is DyTmPd4 after structural relaxation from Alexandria via LeMat-Bulk. Energies are from PBE.

Total magnetic moment = 0.000 μB per formula unit
Excess energy over the best structure of this formula in the dataset = 0.189 eV/atom
Calculated formation energy = -3.767 eV/f.u.
DOS at the Fermi energy = 2.39 states/eV/f.u.

a b c (Å): 3.9378 3.9378 8.3552
angles (deg): 90.00 90.00 90.00
Space group P4/mmm (No. 123)
Symmetry-distinct sites (fractional):
Dy: 0.0000 0.0000 0.0000
Tm: 0.5000 0.5000 0.5000
Pd: 0.0000 0.5000 0.2527

Entry 13:
Here is DyTm3Pd after structural relaxation from Alexandria via LeMat-Bulk. Energies are from PBE.

Total magnetic moment = 0.001 μB per formula unit
Excess energy over the best structure of this formula in the dataset = 0.000 eV/atom
Calculated formation energy = -1.414 eV/f.u.
DOS at the Fermi energy = 6.79 states/eV/f.u.

a b c (Å): 17.0670 5.1724 6.2324
angles (deg): 90.00 95.91 90.00
Space group C2/m (No. 12)
Symmetry-distinct sites (fractional):
Dy: 0.0898 0.0000 0.3660
Tm: 0.0379 0.5000 0.7708
Tm: 0.1821 0.0000 0.9012
Tm: 0.2063 0.5000 0.5629
Pd: 0.1449 0.5000 0.1336

Entry 14:
Here is Dy4TmPd2 after structural relaxation from Alexandria via LeMat-Bulk. Energies are from PBE.

Total magnetic moment = 0.000 μB per formula unit
Excess energy over the best structure of this formula in the dataset = 0.000 eV/atom
Calculated formation energy = -3.069 eV/f.u.
DOS at the Fermi energy = 7.90 states/eV/f.u.

a b c (Å): 7.8021 6.3224 8.1059
angles (deg): 90.00 112.75 90.00
Space group P2_1/m (No. 11)
Symmetry-distinct sites (fractional):
Dy: 0.0214 0.2500 0.3922
Dy: 0.2428 0.7500 0.3458
Dy: 0.4080 0.0047 0.7730
Tm: 0.1573 0.2500 0.0289
Pd: 0.2287 0.7500 0.9896
Pd: 0.3827 0.2500 0.4184

Entry 15:
Here is Dy3TmPd after structural relaxation from Alexandria via LeMat-Bulk. Energies are from PBE.

Total magnetic moment = 0.001 μB per formula unit
Excess energy over the best structure of this formula in the dataset = 0.096 eV/atom
Calculated formation energy = -1.339 eV/f.u.
DOS at the Fermi energy = 7.84 states/eV/f.u.

a b c (Å): 11.4560 8.4490 7.8550
angles (deg): 90.00 128.36 90.00
Space group C2/m (No. 12)
Symmetry-distinct sites (fractional):
Dy: 0.0403 0.0000 0.3133
Dy: 0.2063 0.3007 0.7370
Tm: 0.0723 0.5000 0.2707
Pd: 0.2291 0.5000 0.0821

Entry 16:
Here is Dy2Tm3Pd3 after structural relaxation from Alexandria via LeMat-Bulk. Energies are from PBE.

Total magnetic moment = 0.000 μB per formula unit
Calculated formation energy = -5.279 eV/f.u.
DOS at the Fermi energy = 7.02 states/eV/f.u.

a b c (Å): 3.5295 5.1028 20.7436
angles (deg): 90.00 90.00 90.00
Space group Immm (No. 71)
Symmetry-distinct sites (fractional):
Dy: 0.0000 0.0000 0.2268
Tm: 0.0000 0.0000 0.0000
Tm: 0.0000 0.5000 0.1151
Pd: 0.0000 0.0000 0.5000
Pd: 0.0000 0.5000 0.3864

Entry 17:
Here is DyTm5Pd4 after structural relaxation from Alexandria via LeMat-Bulk. Energies are from PBE.

Total magnetic moment = 0.000 μB per formula unit
Calculated formation energy = -7.355 eV/f.u.
DOS at the Fermi energy = 9.23 states/eV/f.u.

a b c (Å): 3.4755 3.4755 18.8755
angles (deg): 90.00 90.00 90.00
Space group P4/mmm (No. 123)
Symmetry-distinct sites (fractional):
Dy: 0.0000 0.0000 0.0000
Tm: 0.5000 0.5000 0.1353
Tm: 0.5000 0.5000 0.3164
Tm: 0.5000 0.5000 0.5000
Pd: 0.0000 0.0000 0.2246
Pd: 0.0000 0.0000 0.4073

Entry 18:
Here is Dy3Tm2Pd2 after structural relaxation from Alexandria via LeMat-Bulk. Energies are from PBE.

Total magnetic moment = 0.001 μB per formula unit
Excess energy over the best structure of this formula in the dataset = 0.000 eV/atom
Calculated formation energy = -3.686 eV/f.u.
DOS at the Fermi energy = 8.87 states/eV/f.u.

a b c (Å): 12.2986 3.6887 9.0236
angles (deg): 90.00 116.34 90.00
Space group C2/m (No. 12)
Symmetry-distinct sites (fractional):
Dy: 0.0000 0.0000 0.0000
Dy: 0.1127 0.0000 0.4395
Tm: 0.1592 0.5000 0.8142
Pd: 0.1737 0.5000 0.2337

Entry 19:
Here is Dy2Tm3Pd4 after structural relaxation from Alexandria via LeMat-Bulk. Energies are from PBE.

Total magnetic moment = 0.000 μB per formula unit
Excess energy over the best structure of this formula in the dataset = 0.000 eV/atom
Calculated formation energy = -7.573 eV/f.u.
DOS at the Fermi energy = 5.96 states/eV/f.u.

a b c (Å): 7.5712 7.5658 7.6507
angles (deg): 90.00 108.89 90.00
Space group P2_1/c (No. 14)
Symmetry-distinct sites (fractional):
Dy: 0.1946 0.1781 0.0808
Tm: 0.2417 0.6642 0.2494
Tm: 0.5000 0.0000 0.5000
Pd: 0.0886 0.5369 0.8601
Pd: 0.4965 0.1330 0.8695

Entry 20:
Here is Dy3TmPd2 after structural relaxation from Alexandria via LeMat-Bulk. Energies are from PBE.

Total magnetic moment = 0.089 μB per formula unit
Calculated formation energy = -3.611 eV/f.u.
DOS at the Fermi energy = 6.71 states/eV/f.u.

a b c (Å): 3.7497 9.7496 8.4776
angles (deg): 90.00 90.00 90.00
Space group Pmc2_1 (No. 26)
Symmetry-distinct sites (fractional):
Dy: 0.0000 0.0660 0.0000
Dy: 0.0000 0.2852 0.3399
Dy: 0.5000 0.2174 0.6805
Tm: 0.5000 0.4361 0.0195
Pd: 0.0000 0.4297 0.7473
Pd: 0.5000 0.0721 0.2737